VASP calculation (PBE with a Hubbard U) on Nb3CoO after structural relaxation.

Results
As for the offset from the most stable computed form: 165.1 kJ per mole of atoms. As for the calculated density: 6.3 g cm⁻³. The energy comes out at -33.89 eV per formula unit. The symmetry is No. 221.

Geometry as CIF:
```
data_Nb3CoO
_space_group_name_H-M_alt 'P 1'
_space_group_IT_number 1
_space_group_name_Hall 'P 1'
_cell_length_a 4.541
_cell_length_b 4.541
_cell_length_c 4.541
_cell_angle_alpha 90.00
_cell_angle_beta 90.00
_cell_angle_gamma 90.00
loop_
_atom_site_label
_atom_site_fract_x
_atom_site_fract_y
_atom_site_fract_z
Nb1 0.000 0.500 0.000
Nb2 0.000 0.000 0.500
Nb3 0.500 0.000 0.000
Co1 0.000 0.000 0.000
O1 0.500 0.500 0.500
```